Record 1
Computed, not measured: BaLi2Ga2 after structural relaxation at the PBE level of DFT.

Computed properties:
Total moment ... 0.00 μB/f.u.
ΔH_f (0 K) ... -0.149 eV per atom
Energy relative to the lowest polymorph listed for this composition ... 14.2 kJ/mol of atoms
Total energy ... -25.10 eV for the cell shown

Cell: 8.5023 8.5023 3.1680 Å, 90.00 90.00 90.00°
Space group P4/mbm (No. 127)
Unique sites:
1 Ba 0.0000 0.0000 0.0000 [2 per cell]
2 Li 0.1176 0.3824 0.0000 [4 per cell]
3 Ga 0.1702 0.6702 0.5000 [4 per cell]

Record 2
Computed, not measured: Ba2LiGa5 after structural relaxation at the PBE level of DFT.

Computed properties:
Total moment ... 0.38 μB/f.u.
ΔH_f (0 K) ... -0.358 eV per atom
Total energy ... -95.02 eV for the cell shown

Cell: 4.6754 17.9615 9.6676 Å, 90.00 90.00 90.00°
Space group Cmcm (No. 63)
Unique sites:
1 Ba 0.0000 0.0000 0.0000 [4 per cell]
2 Ba 0.0000 0.2040 0.2500 [4 per cell]
3 Li 0.0000 0.4406 0.7500 [4 per cell]
4 Ga 0.0000 0.1887 0.6098 [8 per cell]
5 Ga 0.0000 0.3518 0.5117 [8 per cell]
6 Ga 0.0000 0.4050 0.2500 [4 per cell]

Record 3
Computed, not measured: Ba2LiGa after structural relaxation at the PBE level of DFT.

Computed properties:
Total moment ... 0.00 μB/f.u.
ΔH_f (0 K) ... -0.168 eV per atom
Total energy ... -9.46 eV for the cell shown

Cell: 4.1798 4.1798 8.7715 Å, 90.00 90.00 90.00°
Space group P4/mmm (No. 123)
Unique sites:
1 Ba 0.0000 0.0000 0.2197 [2 per cell]
2 Li 0.5000 0.5000 0.5000 [1 per cell]
3 Ga 0.5000 0.5000 0.0000 [1 per cell]

Record 4
Computed, not measured: BaLi2Ga after structural relaxation at the PBE level of DFT.

Computed properties:
Total moment ... 0.00 μB/f.u.
ΔH_f (0 K) ... -0.033 eV per atom
Total energy ... -35.63 eV for the cell shown

Cell: 5.1954 5.1954 18.5312 Å, 90.00 90.00 90.00°
Space group I-42d (No. 122)
Unique sites:
1 Ba 0.0000 0.0000 0.0000 [4 per cell]
2 Li 0.0018 0.7500 0.6250 [8 per cell]
3 Ga 0.0000 0.0000 0.5000 [4 per cell]

Record 5
Computed, not measured: BaLi3Ga after structural relaxation at the PBE level of DFT.

Computed properties:
Total moment ... 0.00 μB/f.u.
ΔH_f (0 K) ... -0.136 eV per atom
Energy relative to the lowest polymorph listed for this composition ... 0.0 kJ/mol of atoms
Total energy ... -45.49 eV for the cell shown

Cell: 6.7897 10.0932 7.7385 Å, 90.00 90.00 90.00°
Space group Imma (No. 74)
Unique sites:
1 Ba 0.0000 0.2500 0.0924 [4 per cell]
2 Li 0.0000 0.2500 0.5724 [4 per cell]
3 Li 0.2500 0.0451 0.7500 [8 per cell]
4 Ga 0.0000 0.0000 0.5000 [4 per cell]

Record 6
Computed, not measured: Ba2Li3Ga2 after structural relaxation at the PBE level of DFT.

Computed properties:
Total moment ... 0.00 μB/f.u.
ΔH_f (0 K) ... -0.201 eV per atom
Energy relative to the lowest polymorph listed for this composition ... 0.6 kJ/mol of atoms
Total energy ... -34.10 eV for the cell shown

Cell: 10.8728 5.1844 7.3973 Å, 90.00 105.40 90.00°
Space group C2/m (No. 12)
Unique sites:
1 Ba 0.1414 0.0000 0.2689 [4 per cell]
2 Li 0.0000 0.5000 0.5000 [2 per cell]
3 Li 0.1885 0.0000 0.8441 [4 per cell]
4 Ga 0.0781 0.5000 0.8894 [4 per cell]

Record 7
Computed, not measured: Ba2Li3Ga after structural relaxation at the PBE level of DFT.

Computed properties:
Total moment ... 0.00 μB/f.u.
ΔH_f (0 K) ... -0.066 eV per atom
Total energy ... -26.02 eV for the cell shown

Cell: 11.0184 6.3416 6.4269 Å, 90.00 125.40 90.00°
Space group C2/m (No. 12)
Unique sites:
1 Ba 0.1273 0.0000 0.3824 [4 per cell]
2 Li 0.0000 0.5000 0.0000 [2 per cell]
3 Li 0.2500 0.2500 0.0000 [4 per cell]
4 Ga 0.0000 0.5000 0.5000 [2 per cell]

Record 8
Computed, not measured: BaLi6Ga2 after structural relaxation at the PBE level of DFT.

Computed properties:
Total moment ... 0.45 μB/f.u.
ΔH_f (0 K) ... -0.080 eV per atom
Total energy ... -40.36 eV for the cell shown

Cell: 13.1664 6.6943 4.7202 Å, 90.00 110.48 90.00°
Space group C2/m (No. 12)
Unique sites:
1 Ba 0.0000 0.0000 0.0000 [2 per cell]
2 Li 0.0000 0.3333 0.5000 [4 per cell]
3 Li 0.2122 0.2842 0.7126 [8 per cell]
4 Ga 0.1127 0.5000 0.1128 [4 per cell]

Record 9
Computed, not measured: Ba2LiGa after structural relaxation at the PBE level of DFT.

Computed properties:
Total moment ... 0.00 μB/f.u.
ΔH_f (0 K) ... 0.119 eV per atom
Total energy ... -33.23 eV for the cell shown

Cell: 9.3530 9.3530 7.6369 Å, 90.00 90.00 90.00°
Space group I-42d (No. 122)
Unique sites:
1 Ba 0.2279 0.2500 0.1250 [8 per cell]
2 Li 0.0000 0.0000 0.5000 [4 per cell]
3 Ga 0.0000 0.0000 0.0000 [4 per cell]

Record 10
Computed, not measured: Ba2LiGa2 after structural relaxation at the PBE level of DFT.

Computed properties:
Total moment ... 0.00 μB/f.u.
ΔH_f (0 K) ... -0.151 eV per atom
Energy relative to the lowest polymorph listed for this composition ... 12.4 kJ/mol of atoms
Total energy ... -25.14 eV for the cell shown

Cell: 6.6189 6.6189 8.1603 Å, 90.00 90.00 90.00°
Space group I4/mmm (No. 139)
Unique sites:
1 Ba 0.0000 0.5000 0.2500 [4 per cell]
2 Li 0.0000 0.0000 0.0000 [2 per cell]
3 Ga 0.0000 0.0000 0.3512 [4 per cell]

Record 11
Computed, not measured: Ba4Li3Ga2 after structural relaxation at the PBE level of DFT.

Computed properties:
Total moment ... 0.00 μB/f.u.
ΔH_f (0 K) ... -0.143 eV per atom
Total energy ... -41.54 eV for the cell shown

Cell: 16.1344 4.8179 8.4119 Å, 90.00 104.82 90.00°
Space group C2/m (No. 12)
Unique sites:
1 Ba 0.0944 0.0000 0.3842 [4 per cell]
2 Ba 0.2372 0.5000 0.1732 [4 per cell]
3 Li 0.0000 0.5000 0.0000 [2 per cell]
4 Li 0.0824 0.5000 0.7419 [4 per cell]
5 Ga 0.0782 0.0000 0.9594 [4 per cell]

Record 12
Computed, not measured: Ba4LiGa3 after structural relaxation at the PBE level of DFT.

Computed properties:
Total moment ... 0.00 μB/f.u.
ΔH_f (0 K) ... -0.258 eV per atom
Total energy ... -20.75 eV for the cell shown

Cell: 4.7160 5.3526 11.6251 Å, 90.00 90.00 90.00°
Space group Pmm2 (No. 25)
Unique sites:
1 Ba 0.0000 0.0000 0.0000 [1 per cell]
2 Ba 0.0000 0.5000 0.4872 [1 per cell]
3 Ba 0.5000 0.0000 0.7025 [1 per cell]
4 Ba 0.5000 0.5000 0.2003 [1 per cell]
5 Li 0.0000 0.5000 0.8081 [1 per cell]
6 Ga 0.0000 0.0000 0.2953 [1 per cell]
7 Ga 0.5000 0.0000 0.4003 [1 per cell]
8 Ga 0.5000 0.5000 0.8988 [1 per cell]